Compound: K4LaCu
Source: the Alexandria database
Functional: PBE
Structure: optimized geometry

- Total magnetic moment: 1.949 μB per formula unit
- Mass density: 1.962 g/cm³
- ΔH_f (0 K): 0.75 eV per atom
- Total DFT energy (no corrections): -1.4883 eV/atom

Lattice parameters (Å, degrees): 7.5451 7.5451 7.5451 60.00 60.00 60.00
Last column: nearest neighbours and their distance in Å.
Fractional coordinates of all 6 atoms:
K 0.3758 0.3758 0.3758  6 K 3.75-3.80
K 0.3758 0.3758 0.8725  6 K 3.75-3.80
K 0.3758 0.8725 0.3758  6 K 3.75-3.80
K 0.8725 0.3758 0.3758  6 K 3.75-3.80
La 0.0000 0.0000 0.0000  12 K 4.43, 4 Cu 4.62
Cu 0.7500 0.7500 0.7500  12 K 4.42, 4 La 4.62

=====

Compound: Th4NiRh
Source: the Alexandria database
Functional: PBE
Structure: optimized geometry

- Total magnetic moment: 0.000 μB per formula unit
- Mass density: 11.871 g/cm³
- ΔH_f (0 K): -0.42 eV per atom
- Total DFT energy (no corrections): -7.5513 eV/atom

Lattice parameters (Å, degrees): 7.1271 7.1271 6.0021 90.00 90.00 90.00
Last column: nearest neighbours and their distance in Å.
Fractional coordinates of all 12 atoms:
Th 0.1648 0.3307 0.0000  2 Ni 3.03, 2 Rh 3.07, 1 Th 3.37
Th 0.1648 0.6693 0.5000  2 Ni 3.03, 2 Rh 3.07, 1 Th 3.37
Th 0.3307 0.1648 0.5000  2 Ni 3.03, 2 Rh 3.07, 1 Th 3.37
Th 0.3307 0.8352 0.0000  2 Ni 3.03, 2 Rh 3.07, 1 Th 3.37
Th 0.6693 0.1648 0.0000  2 Ni 3.03, 2 Rh 3.07, 1 Th 3.37
Th 0.6693 0.8352 0.5000  2 Ni 3.03, 2 Rh 3.07, 1 Th 3.37
Th 0.8352 0.3307 0.5000  2 Ni 3.03, 2 Rh 3.07, 1 Th 3.37
Th 0.8352 0.6693 0.0000  2 Ni 3.03, 2 Rh 3.07, 1 Th 3.37
Ni 0.0000 0.0000 0.2500  2 Ni 3.00, 8 Th 3.03
Ni 0.0000 0.0000 0.7500  2 Ni 3.00, 8 Th 3.03
Rh 0.5000 0.5000 0.2500  2 Rh 3.00, 8 Th 3.07
Rh 0.5000 0.5000 0.7500  2 Rh 3.00, 8 Th 3.07